(1)
VASP calculation (GGA-PBEsol) on a relaxed structure of BaPtW.

The structure in extended XYZ format:
```
3
Lattice="-0.551 -1.662 -2.741 2.301 -2.141 0.836 -5.350 -1.703 4.037" Properties=species:S:1:pos:R:3 pbc="T T T"
W -0.962 -3.381 0.314
Pt -2.648 -2.132 1.825
Ba -3.591 -5.499 2.127
```

Properties
Density of states at the Fermi level = 1.06 states/eV/atom
M_tot = 0.0000 μB/atom
Symmetry = I4mm
Calculated total energy = -7.1891 eV per atom
Formation energy = 0.4509 eV per atom



(2)
VASP calculation (GGA-PBEsol) on a relaxed structure of ScFe6Sn6.

The structure in extended XYZ format:
```
13
Lattice="-2.873 1.394 4.201 -2.283 -0.411 -4.740 -1.767 -8.402 1.580" Properties=species:S:1:pos:R:3 pbc="T T T"
Sc 0.000 0.000 0.000
Fe -3.014 -1.580 0.120
Fe -1.577 -2.277 -1.980
Fe -1.872 -1.374 2.490
Fe -3.909 -5.839 0.921
Fe -2.473 -6.536 -1.180
Fe -2.768 -5.634 3.291
Sn -2.677 0.792 1.221
Sn -2.480 0.191 -1.759
Sn -3.560 -3.409 2.010
Sn -3.363 -4.010 -0.970
Sn -0.587 -2.791 0.525
Sn -1.180 -5.610 1.055
```

Properties
Density of states at the Fermi level = 0.64 states/eV/atom
M_tot = 0.9139 μB/atom
Symmetry = P6/mmm
Calculated total energy = -6.7463 eV per atom
Formation energy = -0.1354 eV per atom



(3)
VASP calculation (GGA-PBEsol) on a relaxed structure of Cu4Au3.

The structure in extended XYZ format:
```
7
Lattice="3.021 0.000 0.000 0.000 3.021 0.000 -1.511 -1.511 10.562" Properties=species:S:1:pos:R:3 pbc="T T T"
Au 0.000 0.000 0.000
Au 0.000 0.000 6.238
Au 1.511 1.511 4.325
Cu 0.000 0.000 2.791
Cu 0.000 0.000 9.020
Cu 1.511 1.511 1.543
Cu 1.511 1.511 7.771
```

Properties
Density of states at the Fermi level = 0.30 states/eV/atom
M_tot = 0.0000 μB/atom
Symmetry = I4/mmm
Calculated total energy = -4.1746 eV per atom
Formation energy = -0.0162 eV per atom



(4)
VASP calculation (GGA-PBEsol) on a relaxed structure of ZrMo3.

The structure in extended XYZ format:
```
4
Lattice="-1.849 -1.456 1.555 3.377 -1.886 2.249 0.494 4.374 2.929" Properties=species:S:1:pos:R:3 pbc="T T T"
Mo -1.003 2.228 3.376
Mo -0.352 0.691 1.108
Mo 0.764 -1.671 1.902
Zr 1.935 1.244 2.589
```

Properties
Density of states at the Fermi level = 0.77 states/eV/atom
M_tot = 0.0000 μB/atom
Symmetry = P2/m
Calculated total energy = -11.0645 eV per atom
Formation energy = 0.0339 eV per atom



(5)
VASP calculation (GGA-PBEsol) on a relaxed structure of TiTc2P2.

The structure in extended XYZ format:
```
5
Lattice="4.201 0.000 0.000 0.000 4.201 0.000 -2.100 -2.100 4.327" Properties=species:S:1:pos:R:3 pbc="T T T"
P 0.000 2.100 2.163
P 2.100 0.000 2.163
Tc 0.000 0.000 3.190
Tc 2.100 2.100 1.137
Ti 0.000 0.000 0.000
```

Properties
Density of states at the Fermi level = 0.74 states/eV/atom
M_tot = 0.0002 μB/atom
Symmetry = I4/mmm
Calculated total energy = -8.6978 eV per atom
Formation energy = -0.2103 eV per atom



(6)
VASP calculation (GGA-PBEsol) on a relaxed structure of K2Ta2O3F6.

The structure in extended XYZ format:
```
52
Lattice="5.582 0.000 0.000 0.000 10.232 0.000 0.000 0.000 14.452" Properties=species:S:1:pos:R:3 pbc="T T T"
K 4.187 2.581 4.204
K 1.396 7.650 10.248
K 4.187 7.697 3.022
K 1.396 2.534 11.430
K 4.187 0.613 8.670
K 1.396 9.618 5.782
K 4.187 5.729 13.008
K 1.396 4.502 1.444
Ta 4.187 2.237 0.105
Ta 1.396 7.995 14.348
Ta 4.187 7.352 7.121
Ta 1.396 2.879 7.331
Ta 4.187 4.467 9.390
Ta 1.396 5.764 5.062
Ta 4.187 9.583 12.288
Ta 1.396 0.649 2.164
O 0.006 6.436 6.208
O 2.797 3.796 8.245
O 2.785 1.320 1.019
O 5.576 8.912 13.434
O 5.576 3.796 8.245
O 2.785 6.436 6.208
O 2.797 8.912 13.434
O 0.006 1.320 1.019
O 4.187 1.125 13.001
O 1.396 9.107 1.451
O 4.187 6.241 8.678
O 1.396 3.991 5.775
F 4.187 3.595 1.550
F 1.396 6.637 12.902
F 4.187 8.711 5.676
F 1.396 1.521 8.776
F 1.396 2.401 3.103
F 4.187 7.831 11.349
F 1.396 7.517 4.123
F 4.187 2.715 10.329
F 0.060 0.158 3.519
F 2.851 10.074 10.933
F 2.732 5.273 3.707
F 5.523 4.958 10.745
F 5.523 10.074 10.933
F 2.732 0.158 3.519
F 2.851 4.958 10.745
F 0.060 5.273 3.707
F 0.070 1.664 6.487
F 2.861 8.568 7.965
F 2.721 6.780 0.739
F 5.512 3.452 13.713
F 5.512 8.568 7.965
F 2.721 1.664 6.487
F 2.861 3.452 13.713
F 0.070 6.780 0.739
```

Properties
Density of states at the Fermi level = 0.00 states/eV/atom
M_tot = 0.0000 μB/atom
Symmetry = Pnma
Calculated total energy = -7.3246 eV per atom
Formation energy without anion corrections = -40.5 eV per formula unit



(7)
VASP calculation (GGA-PBEsol) on a relaxed structure of Ba2MgZr.

The structure in extended XYZ format:
```
4
Lattice="3.592 0.000 0.000 0.000 5.211 0.000 0.000 0.000 7.339" Properties=species:S:1:pos:R:3 pbc="T T T"
Ba 0.000 0.000 5.466
Ba 0.000 0.000 1.874
Mg 1.796 2.605 0.000
Zr 1.796 2.605 3.670
```

Properties
Density of states at the Fermi level = 1.48 states/eV/atom
M_tot = 0.0007 μB/atom
Symmetry = Pmmm
Calculated total energy = -3.3047 eV per atom
Formation energy = 0.4715 eV per atom



(8)
VASP calculation (GGA-PBEsol) on a relaxed structure of NaAsH4O5.

The structure in extended XYZ format:
```
44
Lattice="5.085 0.000 0.000 0.000 8.393 0.000 0.000 0.000 10.358" Properties=species:S:1:pos:R:3 pbc="T T T"
Na 2.192 5.037 9.469
Na 2.894 0.840 6.068
Na 4.734 7.553 0.889
Na 0.351 3.356 4.290
As 0.422 1.649 8.690
As 4.664 5.846 6.846
As 2.121 6.744 3.511
As 2.964 2.547 1.667
H 4.989 4.110 8.303
H 2.446 0.086 2.055
H 2.270 8.037 9.809
H 0.952 1.859 0.974
H 3.271 7.438 8.743
H 1.814 3.241 6.793
H 0.097 8.307 7.234
H 4.357 0.955 3.564
H 2.815 3.841 5.727
H 0.728 5.152 1.614
H 4.133 6.055 4.205
H 1.591 6.534 6.152
H 3.494 2.338 9.384
H 0.273 0.356 4.630
H 2.639 4.283 3.124
H 4.812 4.553 0.549
O 3.385 3.526 3.031
O 0.938 0.909 10.122
O 3.763 1.715 8.593
O 0.842 0.670 7.327
O 2.924 7.303 9.668
O 2.161 3.106 5.868
O 1.220 2.482 1.765
O 4.061 7.407 7.131
O 1.024 3.210 8.405
O 3.865 6.678 3.414
O 3.567 0.986 1.952
O 4.704 1.091 4.489
O 4.243 4.867 8.209
O 4.147 5.106 5.414
O 1.322 5.911 6.944
O 3.481 3.287 0.235
O 0.382 5.287 0.689
O 1.700 7.723 2.148
O 1.518 5.183 3.226
O 1.604 7.484 4.943
```

Properties
Density of states at the Fermi level = 0.00 states/eV/atom
M_tot = 0.0000 μB/atom
Symmetry = P2_12_12_1
Calculated total energy = -5.4363 eV per atom